# 1
Compound: LiCeErRh
Source: the Alexandria database
Functional: PBE
Structure: optimized geometry

```
LiCeErRh
1.0
4.9591 0.0000 0.0000
2.4795 4.2947 0.0000
2.4795 1.4316 4.0491
Rh Er Ce Li
1 1 1 1
Direct
0.5000 0.5000 0.5000
0.2500 0.2500 0.2500
0.7500 0.7500 0.7500
0.0000 0.0000 0.0000
```

Calculated total energy: -0.3895 Ry per atom
Energy of formation from the pure elements: -0.360 eV/atom
N(E_F): 6.5 states/eV/f.u.

# 2
Compound: LiCeErRu
Source: the Alexandria database
Functional: PBE
Structure: optimized geometry

```
LiCeErRu
1.0
-4.3113 0.8028 2.2393
-3.5550 -3.4005 -0.2117
-1.1967 -2.5648 4.0294
Ce Li Ru Er
1 1 1 1
Direct
0.0000 0.0000 0.0000
0.2500 0.2500 0.2500
0.7500 0.7500 0.7500
0.5000 0.5000 0.5000
```

Calculated total energy: -0.4127 Ry per atom
Energy of formation from the pure elements: -0.193 eV/atom
N(E_F): 6.6 states/eV/f.u.

- Among the records above, which one has the highest calculated total energy?
  LiCeErRh

- What is the formula in the first record?
  LiCeErRh

- Look up the energy of formation from the pure elements of the first one.
  -0.360 eV/atom